<A>
# ReSnSe2N

A relaxed structure of ReSnSe2N (PBE-GGA, Alexandria via LeMat-Bulk).

It has space group P4/mmm (No. 123), with a = 5.337 Å, b = 5.337 Å, c = 3.901 Å, α = 90.00°, β = 90.00° and γ = 90.00°. Symmetry generates all atoms from Re at (0.000, 0.000, 0.000), Sn at (0.500, 0.500, 0.500), Se at (0.000, 0.500, 0.500) and N at (0.500, 0.500, 0.000).


<B>
# ReSnSe2N

A relaxed structure of ReSnSe2N (PBE-GGA, Alexandria via LeMat-Bulk).

It has space group P4/mmm (No. 123), with a = 5.173 Å, b = 5.173 Å, c = 3.765 Å, α = 90.00°, β = 90.00° and γ = 90.00°. Symmetry generates all atoms from Re at (0.000, 0.000, 0.000), Sn at (0.500, 0.500, 0.500), Se at (0.000, 0.500, 0.000) and N at (0.000, 0.000, 0.500).


Pick <B>: it beats the second-best structure by 1.481 eV/atom.


<A>
# TaReSeN2

A relaxed structure of TaReSeN2 (PBE-GGA, Alexandria via LeMat-Bulk).

It has space group P4/mmm (No. 123), with a = 3.843 Å, b = 3.843 Å, c = 5.304 Å, α = 90.00°, β = 90.00° and γ = 90.00°. Symmetry generates all atoms from Ta at (0.000, 0.000, 0.000), Re at (0.500, 0.500, 0.500), Se at (0.500, 0.500, 0.000) and N at (0.000, 0.500, 0.500).


<B>
# TaReSeN2

A relaxed structure of TaReSeN2 (PBE-GGA, Alexandria via LeMat-Bulk).

It has space group P4/mmm (No. 123), with a = 3.981 Å, b = 3.981 Å, c = 5.455 Å, α = 90.00°, β = 90.00° and γ = 90.00°. Symmetry generates all atoms from Ta at (0.000, 0.000, 0.000), Re at (0.500, 0.500, 0.500), Se at (0.000, 0.000, 0.500) and N at (0.000, 0.500, 0.000).


Pick <A>: it beats the second-best structure by 0.097 eV/atom.


<A>
# ReTcSeN2

A relaxed structure of ReTcSeN2 (PBE-GGA, Alexandria via LeMat-Bulk).

It has space group P4/mmm (No. 123), with a = 3.821 Å, b = 3.821 Å, c = 5.424 Å, α = 90.00°, β = 90.00° and γ = 90.00°. Symmetry generates all atoms from Re at (0.000, 0.000, 0.000), Tc at (0.500, 0.500, 0.500), Se at (0.500, 0.500, 0.000) and N at (0.000, 0.500, 0.500).


<B>
# ReTcSeN2

A relaxed structure of ReTcSeN2 (PBE-GGA, Alexandria via LeMat-Bulk).

It has space group P4/mmm (No. 123), with a = 3.839 Å, b = 3.839 Å, c = 5.429 Å, α = 90.00°, β = 90.00° and γ = 90.00°. Symmetry generates all atoms from Re at (0.000, 0.000, 0.000), Tc at (0.500, 0.500, 0.500), Se at (0.000, 0.000, 0.500) and N at (0.000, 0.500, 0.000).


Pick <B>: it beats the second-best structure by 0.416 eV/atom.


<A>
# ReTeSeN2

A relaxed structure of ReTeSeN2 (PBE-GGA, Alexandria via LeMat-Bulk).

It has space group P4/mmm (No. 123), with a = 3.794 Å, b = 3.794 Å, c = 7.064 Å, α = 90.00°, β = 90.00° and γ = 90.00°. Symmetry generates all atoms from Re at (0.000, 0.000, 0.000), Te at (0.500, 0.500, 0.000), Se at (0.500, 0.500, 0.500) and N at (0.000, 0.500, 0.500).


<B>
# ReTeSeN2

A relaxed structure of ReTeSeN2 (PBE-GGA, Alexandria via LeMat-Bulk).

It has space group P4/mmm (No. 123), with a = 3.921 Å, b = 3.921 Å, c = 6.117 Å, α = 90.00°, β = 90.00° and γ = 90.00°. Symmetry generates all atoms from Re at (0.000, 0.000, 0.000), Te at (0.500, 0.500, 0.500), Se at (0.500, 0.500, 0.000) and N at (0.000, 0.500, 0.500).


<C>
# ReTeSeN2

A relaxed structure of ReTeSeN2 (PBE-GGA, Alexandria via LeMat-Bulk).

It has space group P4/mmm (No. 123), with a = 3.880 Å, b = 3.880 Å, c = 5.966 Å, α = 90.00°, β = 90.00° and γ = 90.00°. Symmetry generates all atoms from Re at (0.000, 0.000, 0.000), Te at (0.000, 0.000, 0.500), Se at (0.500, 0.500, 0.500) and N at (0.000, 0.500, 0.000).


Pick <C>: it beats the second-best structure by 1.516 eV/atom.


<A>
# ReTeSe2N

A relaxed structure of ReTeSe2N (PBE-GGA, Alexandria via LeMat-Bulk).

It has space group P4/mmm (No. 123), with a = 5.389 Å, b = 5.389 Å, c = 3.896 Å, α = 90.00°, β = 90.00° and γ = 90.00°. Symmetry generates all atoms from Re at (0.000, 0.000, 0.000), Te at (0.500, 0.500, 0.500), Se at (0.000, 0.500, 0.500) and N at (0.500, 0.500, 0.000).


<B>
# ReTeSe2N

A relaxed structure of ReTeSe2N (PBE-GGA, Alexandria via LeMat-Bulk).

It has space group P4/mmm (No. 123), with a = 5.103 Å, b = 5.103 Å, c = 3.781 Å, α = 90.00°, β = 90.00° and γ = 90.00°. Symmetry generates all atoms from Re at (0.000, 0.000, 0.000), Te at (0.500, 0.500, 0.500), Se at (0.000, 0.500, 0.000) and N at (0.000, 0.000, 0.500).


Pick <B>: it beats the second-best structure by 1.438 eV/atom.


<A>
# TlReSeN2

A relaxed structure of TlReSeN2 (PBE-GGA, Alexandria via LeMat-Bulk).

It has space group P4/mmm (No. 123), with a = 3.944 Å, b = 3.944 Å, c = 5.462 Å, α = 90.00°, β = 90.00° and γ = 90.00°. Symmetry generates all atoms from Tl at (0.000, 0.000, 0.000), Re at (0.500, 0.500, 0.500), Se at (0.500, 0.500, 0.000) and N at (0.000, 0.500, 0.500).


<B>
# TlReSeN2

A relaxed structure of TlReSeN2 (PBE-GGA, Alexandria via LeMat-Bulk).

It has space group P4/mmm (No. 123), with a = 4.138 Å, b = 4.138 Å, c = 6.263 Å, α = 90.00°, β = 90.00° and γ = 90.00°. Symmetry generates all atoms from Tl at (0.000, 0.000, 0.000), Re at (0.500, 0.500, 0.500), Se at (0.000, 0.000, 0.500) and N at (0.000, 0.500, 0.000).


Pick <A>: it beats the second-best structure by 2.156 eV/atom.


<A>
# YReSe2N

A relaxed structure of YReSe2N (PBE-GGA, Alexandria via LeMat-Bulk).

It has space group P4/mmm (No. 123), with a = 5.484 Å, b = 5.484 Å, c = 4.308 Å, α = 90.00°, β = 90.00° and γ = 90.00°. Symmetry generates all atoms from Y at (0.000, 0.000, 0.000), Re at (0.500, 0.500, 0.500), Se at (0.000, 0.500, 0.000) and N at (0.000, 0.000, 0.500).


<B>
# YReSe2N

A relaxed structure of YReSe2N (PBE-GGA, Alexandria via LeMat-Bulk).

It has space group P4/mmm (No. 123), with a = 5.130 Å, b = 5.130 Å, c = 3.771 Å, α = 90.00°, β = 90.00° and γ = 90.00°. Symmetry generates all atoms from Y at (0.000, 0.000, 0.000), Re at (0.500, 0.500, 0.500), Se at (0.000, 0.500, 0.500) and N at (0.500, 0.500, 0.000).


Pick <B>: it beats the second-best structure by 1.521 eV/atom.


<A>
# ZnReSe2N

A relaxed structure of ZnReSe2N (PBE-GGA, Alexandria via LeMat-Bulk).

It has space group P4/mmm (No. 123), with a = 5.067 Å, b = 5.067 Å, c = 3.733 Å, α = 90.00°, β = 90.00° and γ = 90.00°. Symmetry generates all atoms from Zn at (0.000, 0.000, 0.000), Re at (0.500, 0.500, 0.500), Se at (0.000, 0.500, 0.500) and N at (0.500, 0.500, 0.000).


<B>
# ZnReSe2N

A relaxed structure of ZnReSe2N (PBE-GGA, Alexandria via LeMat-Bulk).

It has space group P4/mmm (No. 123), with a = 5.000 Å, b = 5.000 Å, c = 3.501 Å, α = 90.00°, β = 90.00° and γ = 90.00°. Symmetry generates all atoms from Zn at (0.000, 0.000, 0.000), Re at (0.500, 0.500, 0.500), Se at (0.000, 0.500, 0.000) and N at (0.000, 0.000, 0.500).


Pick <A>: it beats the second-best structure by 1.222 eV/atom.


<A>
# ZrReSeN2

A relaxed structure of ZrReSeN2 (PBE-GGA, Alexandria via LeMat-Bulk).

It has space group P4/mmm (No. 123), with a = 4.096 Å, b = 4.096 Å, c = 5.673 Å, α = 90.00°, β = 90.00° and γ = 90.00°. Symmetry generates all atoms from Zr at (0.000, 0.000, 0.000), Re at (0.500, 0.500, 0.500), Se at (0.000, 0.000, 0.500) and N at (0.000, 0.500, 0.000).


<B>
# ZrReSeN2

A relaxed structure of ZrReSeN2 (PBE-GGA, Alexandria via LeMat-Bulk).

It has space group P4/mmm (No. 123), with a = 3.891 Å, b = 3.891 Å, c = 5.136 Å, α = 90.00°, β = 90.00° and γ = 90.00°. Symmetry generates all atoms from Zr at (0.000, 0.000, 0.000), Re at (0.500, 0.500, 0.500), Se at (0.500, 0.500, 0.000) and N at (0.000, 0.500, 0.500).


Pick <B>: it beats the second-best structure by 0.946 eV/atom.


<A>
# ZrReSe2N

A relaxed structure of ZrReSe2N (PBE-GGA, Alexandria via LeMat-Bulk).

It has space group P4/mmm (No. 123), with a = 5.075 Å, b = 5.075 Å, c = 3.717 Å, α = 90.00°, β = 90.00° and γ = 90.00°. Symmetry generates all atoms from Zr at (0.000, 0.000, 0.000), Re at (0.500, 0.500, 0.500), Se at (0.000, 0.500, 0.500) and N at (0.500, 0.500, 0.000).


<B>
# ZrReSe2N

A relaxed structure of ZrReSe2N (PBE-GGA, Alexandria via LeMat-Bulk).

It has space group P4/mmm (No. 123), with a = 5.317 Å, b = 5.317 Å, c = 3.994 Å, α = 90.00°, β = 90.00° and γ = 90.00°. Symmetry generates all atoms from Zr at (0.000, 0.000, 0.000), Re at (0.500, 0.500, 0.500), Se at (0.000, 0.500, 0.000) and N at (0.000, 0.000, 0.500).


Pick <A>: it beats the second-best structure by 0.759 eV/atom.


<A>
# ReSi3N

A relaxed structure of ReSi3N (PBE-GGA, Alexandria via LeMat-Bulk).

It has space group Pm-3m (No. 221), with a = 4.660 Å, b = 4.660 Å, c = 4.660 Å, α = 90.00°, β = 90.00° and γ = 90.00°. Symmetry generates all atoms from Re at (0.000, 0.000, 0.000), Si at (0.000, 0.000, 0.500) and N at (0.500, 0.500, 0.500).


<B>
# ReSi3N

A relaxed structure of ReSi3N (PBE-GGA, Alexandria via LeMat-Bulk).

It has space group Pm-3m (No. 221), with a = 3.922 Å, b = 3.922 Å, c = 3.922 Å, α = 90.00°, β = 90.00° and γ = 90.00°. Symmetry generates all atoms from Re at (0.000, 0.000, 0.000), Si at (0.000, 0.500, 0.500) and N at (0.500, 0.500, 0.500).


Pick <B>: it beats the second-best structure by 0.660 eV/atom.


<A>
# ReSiTe2N

A relaxed structure of ReSiTe2N (PBE-GGA, Alexandria via LeMat-Bulk).

It has space group P4/mmm (No. 123), with a = 5.395 Å, b = 5.395 Å, c = 3.262 Å, α = 90.00°, β = 90.00° and γ = 90.00°. Symmetry generates all atoms from Re at (0.000, 0.000, 0.000), Si at (0.500, 0.500, 0.500), Te at (0.000, 0.500, 0.500) and N at (0.500, 0.500, 0.000).


<B>
# ReSiTe2N

A relaxed structure of ReSiTe2N (PBE-GGA, Alexandria via LeMat-Bulk).

It has space group P4/mmm (No. 123), with a = 5.422 Å, b = 5.422 Å, c = 3.723 Å, α = 90.00°, β = 90.00° and γ = 90.00°. Symmetry generates all atoms from Re at (0.000, 0.000, 0.000), Si at (0.500, 0.500, 0.500), Te at (0.000, 0.500, 0.000) and N at (0.000, 0.000, 0.500).


Pick <B>: it beats the second-best structure by 0.346 eV/atom.